Entry 1:
Density functional theory data (PBE) for a relaxed NbPW2 crystal.

Computed properties:
Energy of formation in eV per atom: 0.355
Symmetry: I-42d (122)

CIF file:
```
data_NbPW2
_chemical_formula_sum 'Nb4 P4 W8'
_cell_length_a 7.5380
_cell_length_b 7.5380
_cell_length_c 4.9130
_cell_angle_alpha 90.00
_cell_angle_beta 90.00
_cell_angle_gamma 90.00
_space_group_name_H-M_alt 'P 1'
_space_group_IT_number 1
loop_
_space_group_symop_operation_xyz
'x,y,z'
loop_
_atom_site_label
_atom_site_fract_x
_atom_site_fract_y
_atom_site_fract_z
Nb1 0.0000 0.0000 0.0000
Nb2 0.0000 0.5000 0.2500
Nb3 0.5000 0.0000 0.7500
Nb4 0.5000 0.5000 0.5000
P1 0.0000 0.0000 0.5000
P2 0.0000 0.5000 0.7500
P3 0.5000 0.0000 0.2500
P4 0.5000 0.5000 0.0000
W1 0.1651 0.2500 0.6250
W2 0.2500 0.6651 0.8750
W3 0.2500 0.8349 0.3750
W4 0.3349 0.2500 0.1250
W5 0.6651 0.7500 0.1250
W6 0.7500 0.1651 0.3750
W7 0.7500 0.3349 0.8750
W8 0.8349 0.7500 0.6250
```

Entry 2:
Density functional theory data (PBE) for a relaxed K3Sb5H12 crystal.

Computed properties:
Symmetry: Ia-3d (230)

CIF file:
```
data_K3Sb5H12
_chemical_formula_sum 'K12 Sb20 H48'
_cell_length_a 12.4334
_cell_length_b 12.4334
_cell_length_c 12.4334
_cell_angle_alpha 109.47
_cell_angle_beta 109.47
_cell_angle_gamma 109.47
_space_group_name_H-M_alt 'P 1'
_space_group_IT_number 1
loop_
_space_group_symop_operation_xyz
'x,y,z'
loop_
_atom_site_label
_atom_site_fract_x
_atom_site_fract_y
_atom_site_fract_z
K1 0.1250 0.2500 0.3750
K2 0.1250 0.3750 0.7500
K3 0.2500 0.3750 0.1250
K4 0.2500 0.8750 0.6250
K5 0.3750 0.1250 0.2500
K6 0.3750 0.7500 0.1250
K7 0.6250 0.2500 0.8750
K8 0.6250 0.8750 0.7500
K9 0.7500 0.1250 0.3750
K10 0.7500 0.6250 0.8750
K11 0.8750 0.6250 0.2500
K12 0.8750 0.7500 0.6250
Sb1 0.0000 0.0000 0.0000
Sb2 0.0000 0.0000 0.5000
Sb3 0.0000 0.5000 0.0000
Sb4 0.0000 0.5000 0.5000
Sb5 0.1250 0.7500 0.8750
Sb6 0.1250 0.8750 0.2500
Sb7 0.2500 0.1250 0.8750
Sb8 0.2500 0.6250 0.3750
Sb9 0.3750 0.2500 0.6250
Sb10 0.3750 0.6250 0.7500
Sb11 0.5000 0.0000 0.0000
Sb12 0.5000 0.0000 0.5000
Sb13 0.5000 0.5000 0.0000
Sb14 0.5000 0.5000 0.5000
Sb15 0.6250 0.3750 0.2500
Sb16 0.6250 0.7500 0.3750
Sb17 0.7500 0.3750 0.6250
Sb18 0.7500 0.8750 0.1250
Sb19 0.8750 0.1250 0.7500
Sb20 0.8750 0.2500 0.1250
H1 0.0302 0.6826 0.1141
H2 0.0302 0.8476 0.9161
H3 0.0685 0.6524 0.6826
H4 0.0685 0.9161 0.3859
H5 0.0839 0.6141 0.9315
H6 0.0839 0.9698 0.1524
H7 0.1141 0.0302 0.6826
H8 0.1141 0.5839 0.4315
H9 0.1524 0.0839 0.9698
H10 0.1524 0.5685 0.1826
H11 0.1826 0.1524 0.5685
H12 0.1826 0.5302 0.6141
H13 0.3174 0.8859 0.9698
H14 0.3174 0.9315 0.3476
H15 0.3476 0.3174 0.9315
H16 0.3476 0.5302 0.4161
H17 0.3859 0.0685 0.9161
H18 0.3859 0.8174 0.4698
H19 0.4161 0.3476 0.5302
H20 0.4161 0.5685 0.8859
H21 0.4315 0.1141 0.5839
H22 0.4315 0.8174 0.8476
H23 0.4698 0.3859 0.8174
H24 0.4698 0.5839 0.6524
H25 0.5302 0.4161 0.3476
H26 0.5302 0.6141 0.1826
H27 0.5685 0.1826 0.1524
H28 0.5685 0.8859 0.4161
H29 0.5839 0.4315 0.1141
H30 0.5839 0.6524 0.4698
H31 0.6141 0.1826 0.5302
H32 0.6141 0.9315 0.0839
H33 0.6524 0.4698 0.5839
H34 0.6524 0.6826 0.0685
H35 0.6826 0.0685 0.6524
H36 0.6826 0.1141 0.0302
H37 0.8174 0.4698 0.3859
H38 0.8174 0.8476 0.4315
H39 0.8476 0.4315 0.8174
H40 0.8476 0.9161 0.0302
H41 0.8859 0.4161 0.5685
H42 0.8859 0.9698 0.3174
H43 0.9161 0.0302 0.8476
H44 0.9161 0.3859 0.0685
H45 0.9315 0.0839 0.6141
H46 0.9315 0.3476 0.3174
H47 0.9698 0.1524 0.0839
H48 0.9698 0.3174 0.8859
```

| no. | E_tot (eV per atom) |
| --- | --- |
| 1 | -9.99 |
| 2 | -2.93 |